# 1
Ac2Pr3ThN6 | PBE-GGA | optimized geometry

a = 8.431 Å, b = 8.431 Å, c = 7.533 Å
α = 102.70°, β = 102.70°, γ = 25.71°
Sites, in units of the cell vectors:
Ac1 0.166 0.166 0.332
Ac2 0.834 0.834 0.668
Pr1 0.162 0.162 0.832
Pr2 0.500 0.500 0.500
Pr3 0.838 0.838 0.168
Th1 0.500 0.500 0.000
N1 0.003 0.003 0.767
N2 0.339 0.339 0.410
N3 0.346 0.346 0.931
N4 0.654 0.654 0.069
N5 0.661 0.661 0.590
N6 0.997 0.997 0.233

Calculated values
space group: C2/m, No. 12
density of states at the Fermi level: 2.26 states/eV/f.u.

# 2
AcPr4Th3N8 | PBE-GGA | optimized geometry

a = 7.404 Å, b = 7.404 Å, c = 7.404 Å
α = 60.20°, β = 60.20°, γ = 60.20°
Sites, in units of the cell vectors:
Ac1 0.000 0.000 0.000
Pr1 0.000 0.000 0.500
Pr2 0.000 0.500 0.000
Pr3 0.500 0.000 0.000
Pr4 0.500 0.500 0.500
Th1 0.000 0.500 0.500
Th2 0.500 0.000 0.500
Th3 0.500 0.500 0.000
N1 0.254 0.254 0.730
N2 0.254 0.730 0.254
N3 0.256 0.256 0.256
N4 0.270 0.746 0.746
N5 0.730 0.254 0.254
N6 0.744 0.744 0.744
N7 0.746 0.270 0.746
N8 0.746 0.746 0.270

Calculated values
space group: R-3m, No. 166
density of states at the Fermi level: 2.71 states/eV/f.u.

# 3
Ac2PrThN4 | PBE-GGA | optimized geometry

a = 6.526 Å, b = 3.778 Å, c = 6.597 Å
α = 90.00°, β = 109.21°, γ = 90.00°
Sites, in units of the cell vectors:
Ac1 0.000 0.000 0.000
Ac2 0.500 0.500 0.000
Pr1 0.000 0.500 0.500
Th1 0.500 0.000 0.500
N1 0.255 0.000 0.730
N2 0.268 0.500 0.276
N3 0.732 0.500 0.724
N4 0.745 0.000 0.270

Calculated values
space group: P2/m, No. 10
density of states at the Fermi level: 2.32 states/eV/f.u.

# 4
AcPrTh2N4 | PBE-GGA | optimized geometry

a = 6.442 Å, b = 3.724 Å, c = 6.484 Å
α = 90.00°, β = 109.33°, γ = 90.00°
Sites, in units of the cell vectors:
Ac1 0.000 0.000 0.000
Pr1 0.500 0.500 0.000
Th1 0.000 0.500 0.500
Th2 0.500 0.000 0.500
N1 0.244 0.000 0.723
N2 0.264 0.500 0.282
N3 0.736 0.500 0.718
N4 0.756 0.000 0.277

Calculated values
space group: P2/m, No. 10
density of states at the Fermi level: 3.28 states/eV/f.u.

| no. | energy (eV per formula unit) | raw formation energy (eV per formula unit) |
| --- | --- | --- |
| 1 | -95.28 | -15.4 |
| 2 | -134.69 | -22.6 |
| 3 | -63.98 | -10.3 |
| 4 | -68.39 | -11.4 |